(1)
## TmGaCuAg (PBE)

Data for TmGaCuAg after structural relaxation.

E = -15.635 eV per formula unit
Calculated volume = 17.985 Å³ per atom
Energy of formation = -0.30 eV per atom

abc: 6.602 6.602 6.602
angles: 90.00 90.00 90.00
Space group F-43m (No. 216)
One atom of each set of equivalent atoms:
Tm 0.000 0.000 0.000
Ga 0.000 0.000 0.500
Cu 0.250 0.250 0.750
Ag 0.250 0.250 0.250



(2)
## CaRu3W (PBE)

Data for CaRu3W after structural relaxation.

E = -38.192 eV per formula unit
Calculated volume = 21.312 Å³ per atom
Energy of formation = 0.92 eV per atom
Distance to the lowest polymorph of the same formula = 0.0 meV/atom

abc: 4.741 4.741 4.741
angles: 90.00 90.00 90.00
Space group Pm-3m (No. 221)
One atom of each set of equivalent atoms:
Ca 0.000 0.000 0.000
Ru 0.000 0.500 0.500
W 0.500 0.500 0.500



(3)
## ZnIr2Cl (PBE)

Data for ZnIr2Cl after structural relaxation.

E = -19.136 eV per formula unit
Calculated volume = 15.335 Å³ per atom
Formation energy from raw total energies = 0.4266 eV/atom
Distance to the lowest polymorph of the same formula = 283.0 meV/atom

abc: 2.753 4.985 8.940
angles: 90.00 90.00 90.00
Space group Immm (No. 71)
One atom of each set of equivalent atoms:
Zn 0.000 0.000 0.000
Ir 0.000 0.500 0.246
Cl 0.000 0.000 0.500



(4)
## Dy3YTl2S (PBE)

Data for Dy3YTl2S after structural relaxation.

E = -33.706 eV per formula unit
Calculated volume = 29.302 Å³ per atom
Formation energy from raw total energies = -0.6537 eV/atom

abc: 5.070 5.072 15.955
angles: 90.00 90.00 90.00
Space group Immm (No. 71)
One atom of each set of equivalent atoms:
Dy 0.000 0.000 0.000
Dy 0.000 0.500 0.172
Y 0.000 0.000 0.500
Tl 0.000 0.500 0.367
S 0.000 0.500 0.000



(5)
## NaTbGdGa (PBE)

Data for NaTbGdGa after structural relaxation.

E = -23.610 eV per formula unit
Calculated volume = 25.684 Å³ per atom
Energy of formation = -0.14 eV per atom

abc: 7.435 7.435 7.435
angles: 90.00 90.00 90.00
Space group F-43m (No. 216)
One atom of each set of equivalent atoms:
Na 0.000 0.000 0.000
Tb 0.250 0.250 0.750
Gd 0.250 0.250 0.250
Ga 0.000 0.000 0.500



(6)
## ZnCo2Tc (PBE)

Data for ZnCo2Tc after structural relaxation.

E = -25.950 eV per formula unit
Calculated volume = 12.162 Å³ per atom
Energy of formation = -0.02 eV per atom

abc: 2.655 2.655 6.899
angles: 90.00 90.00 90.00
Space group P4/mmm (No. 123)
One atom of each set of equivalent atoms:
Zn 0.000 0.000 0.000
Co 0.500 0.500 0.250
Tc 0.000 0.000 0.500



(7)
## Mg2Sb2Ru (PBE)

Data for Mg2Sb2Ru after structural relaxation.

E = -21.011 eV per formula unit
Calculated volume = 22.279 Å³ per atom
Formation energy from raw total energies = -0.0602 eV/atom

abc: 6.813 6.813 4.799
angles: 90.00 90.00 90.00
Space group P4/mbm (No. 127)
One atom of each set of equivalent atoms:
Mg 0.173 0.327 0.000
Sb 0.149 0.649 0.500
Ru 0.000 0.000 0.500



(8)
## CoNi2Os (PBE)

Data for CoNi2Os after structural relaxation.

E = -29.240 eV per formula unit
Calculated volume = 11.925 Å³ per atom
Energy of formation = 0.16 eV per atom
Distance to the lowest polymorph of the same formula = 65.6 meV/atom

abc: 2.586 2.586 7.135
angles: 90.00 90.00 90.00
Space group P4/mmm (No. 123)
One atom of each set of equivalent atoms:
Co 0.000 0.000 0.000
Ni 0.500 0.500 0.242
Os 0.000 0.000 0.500



- What is the formula in the fourth record?
  Dy3YTl2S